[1]
## FeAgPt (PBE)

Data for a relaxed FeAgPt crystal.

The space group is C2/m (No. 12) and the conventional cell measures 12.058, 2.776 and 5.608 Å, with angles of 90.00, 103.74 and 90.00 degrees. Symmetry generates all atoms from Fe at (0.000, 0.000, 0.000), Fe at (0.000, 0.000, 0.500), Ag at (0.164, 0.500, 0.329) and Pt at (0.151, 0.500, 0.830).

Its density of states at the Fermi level is 0.68 states/eV/atom. The value obtained for the uncorrected energy is -5.764 eV/atom. The value obtained for the energy relative to the elements is 0.021 eV per atom. The energy above the most stable polymorph in this dataset is 0.059 eV/atom.



[2]
## FeAgPt (PBE)

Data for a relaxed FeAgPt crystal.

The space group is P2_1/m (No. 11) and the conventional cell measures 2.778, 4.424 and 7.584 Å, with angles of 90.00, 100.36 and 90.00 degrees. Symmetry generates all atoms from Fe at (0.052, 0.250, 0.102), Ag at (0.282, 0.750, 0.567) and Pt at (0.404, 0.250, 0.802).

Its density of states at the Fermi level is 0.72 states/eV/atom. The value obtained for the uncorrected energy is -5.814 eV/atom. The value obtained for the energy relative to the elements is -0.029 eV per atom. The energy above the most stable polymorph in this dataset is 0.010 eV/atom.



[3]
## FeAgPt (PBE)

Data for a relaxed FeAgPt crystal.

The space group is P-1 (No. 2) and the conventional cell measures 2.800, 4.773 and 7.446 Å, with angles of 75.34, 79.45 and 73.22 degrees. Symmetry generates all atoms from Fe at (0.176, 0.223, 0.424), Ag at (0.164, 0.761, 0.913) and Pt at (0.499, 0.285, 0.717).

Its density of states at the Fermi level is 0.71 states/eV/atom. The value obtained for the uncorrected energy is -5.804 eV/atom. The value obtained for the energy relative to the elements is -0.019 eV per atom. The energy above the most stable polymorph in this dataset is 0.019 eV/atom.



[4]
## FeAgPt (PBE)

Data for a relaxed FeAgPt crystal.

The space group is Cmcm (No. 63) and the conventional cell measures 2.764, 16.214 and 4.094 Å, with angles of 90.00, 90.00 and 90.00 degrees. Symmetry generates all atoms from Fe at (0.000, 0.042, 0.250), Ag at (0.000, 0.206, 0.250) and Pt at (0.000, 0.397, 0.250).

Its density of states at the Fermi level is 0.66 states/eV/atom. The value obtained for the uncorrected energy is -5.823 eV/atom. The value obtained for the energy relative to the elements is -0.038 eV per atom. The energy above the most stable polymorph in this dataset is 0.000 eV/atom.



[5]
## FeAg2Pt (PBE)

Data for a relaxed FeAg2Pt crystal.

The space group is Cm (No. 8) and the conventional cell measures 9.200, 2.816 and 5.010 Å, with angles of 90.00, 100.29 and 90.00 degrees. Symmetry generates all atoms from Fe at (0.000, 0.000, 0.000), Ag at (0.007, 0.500, 0.520), Ag at (0.250, 0.500, 0.281) and Pt at (0.262, 0.000, 0.802).

Its density of states at the Fermi level is 0.69 states/eV/atom. The value obtained for the uncorrected energy is -4.922 eV/atom. The value obtained for the energy relative to the elements is 0.129 eV per atom.



[6]
## FeAgPt (PBE)

Data for a relaxed FeAgPt crystal.

The space group is Imm2 (No. 44) and the conventional cell measures 2.796, 3.812 and 8.635 Å, with angles of 90.00, 90.00 and 90.00 degrees. Symmetry generates all atoms from Fe at (0.000, 0.000, 0.000), Ag at (0.000, 0.000, 0.325) and Pt at (0.000, 0.000, 0.644).

Its density of states at the Fermi level is 0.64 states/eV/atom. The value obtained for the uncorrected energy is -5.753 eV/atom. The value obtained for the energy relative to the elements is 0.032 eV per atom. The energy above the most stable polymorph in this dataset is 0.070 eV/atom.



[7]
## FeAgPt (PBE)

Data for a relaxed FeAgPt crystal.

The space group is P-1 (No. 2) and the conventional cell measures 2.794, 2.795 and 11.706 Å, with angles of 89.26, 89.18 and 89.17 degrees. Symmetry generates all atoms from Fe at (0.223, 0.226, 0.435), Ag at (0.266, 0.263, 0.734) and Pt at (0.245, 0.246, 0.086).

Its density of states at the Fermi level is 1.11 states/eV/atom. The value obtained for the uncorrected energy is -5.626 eV/atom. The value obtained for the energy relative to the elements is 0.159 eV per atom. The energy above the most stable polymorph in this dataset is 0.198 eV/atom.



[8]
## FeAg2Pt (PBE)

Data for a relaxed FeAg2Pt crystal.

The space group is I4/mmm (No. 139) and the conventional cell measures 3.863, 3.863 and 8.563 Å, with angles of 90.00, 90.00 and 90.00 degrees. Symmetry generates all atoms from Fe at (0.000, 0.000, 0.000), Ag at (0.000, 0.500, 0.250) and Pt at (0.000, 0.000, 0.500).

Its density of states at the Fermi level is 0.70 states/eV/atom. The value obtained for the uncorrected energy is -4.901 eV/atom. The value obtained for the energy relative to the elements is 0.151 eV per atom.



[9]
## FeAgPt3 (PBE)

Data for a relaxed FeAgPt3 crystal.

The space group is Pm-3m (No. 221) and the conventional cell measures 4.604, 4.604 and 4.604 Å, with angles of 90.00, 90.00 and 90.00 degrees. Symmetry generates all atoms from Fe at (0.000, 0.000, 0.000), Ag at (0.500, 0.500, 0.500) and Pt at (0.000, 0.000, 0.500).

Its density of states at the Fermi level is 0.77 states/eV/atom. The value obtained for the uncorrected energy is -5.060 eV/atom. The value obtained for the energy relative to the elements is 0.827 eV per atom. The energy above the most stable polymorph in this dataset is 0.000 eV/atom.



[10]
## FeAgPt (PBE)

Data for a relaxed FeAgPt crystal.

The space group is I4mm (No. 107) and the conventional cell measures 2.823, 2.823 and 11.537 Å, with angles of 90.00, 90.00 and 90.00 degrees. Symmetry generates all atoms from Fe at (0.000, 0.000, 0.000), Ag at (0.000, 0.000, 0.669) and Pt at (0.000, 0.000, 0.355).

Its density of states at the Fermi level is 1.10 states/eV/atom. The value obtained for the uncorrected energy is -5.745 eV/atom. The value obtained for the energy relative to the elements is 0.040 eV per atom. The energy above the most stable polymorph in this dataset is 0.078 eV/atom.



[11]
## Fe2AgPt2 (PBE)

Data for a relaxed Fe2AgPt2 crystal.

The space group is P4/mbm (No. 127) and the conventional cell measures 7.513, 7.513 and 2.753 Å, with angles of 90.00, 90.00 and 90.00 degrees. Symmetry generates all atoms from Fe at (0.162, 0.338, 0.000), Ag at (0.000, 0.000, 0.500) and Pt at (0.134, 0.634, 0.500).

Its density of states at the Fermi level is 0.70 states/eV/atom. The value obtained for the uncorrected energy is -6.424 eV/atom. The value obtained for the energy relative to the elements is -0.052 eV per atom.



[12]
## FeAg2Pt (PBE)

Data for a relaxed FeAg2Pt crystal.

The space group is Cmmm (No. 65) and the conventional cell measures 2.835, 4.692 and 9.632 Å, with angles of 90.00, 90.00 and 90.00 degrees. Symmetry generates all atoms from Fe at (0.000, 0.000, 0.000), Ag at (0.000, 0.500, 0.241) and Pt at (0.000, 0.000, 0.500).

Its density of states at the Fermi level is 0.66 states/eV/atom. The value obtained for the uncorrected energy is -4.835 eV/atom. The value obtained for the energy relative to the elements is 0.217 eV per atom.



[13]
## FeAgPt (PBE)

Data for a relaxed FeAgPt crystal.

The space group is Cm (No. 8) and the conventional cell measures 9.406, 2.790 and 7.579 Å, with angles of 90.00, 113.66 and 90.00 degrees. Symmetry generates all atoms from Fe at (0.000, 0.000, 0.000), Fe at (0.128, 0.500, 0.830), Ag at (0.157, 0.500, 0.326), Ag at (0.312, 0.000, 0.686), Pt at (0.322, 0.000, 0.130) and Pt at (0.484, 0.500, 0.505).

Its density of states at the Fermi level is 0.73 states/eV/atom. The value obtained for the uncorrected energy is -5.743 eV/atom. The value obtained for the energy relative to the elements is 0.042 eV per atom. The energy above the most stable polymorph in this dataset is 0.080 eV/atom.



[14]
## Fe2AgPt9 (PBE)

Data for a relaxed Fe2AgPt9 crystal.

The space group is P4/mmm (No. 123) and the conventional cell measures 3.951, 3.951 and 11.802 Å, with angles of 90.00, 90.00 and 90.00 degrees. Symmetry generates all atoms from Fe at (0.000, 0.000, 0.168), Ag at (0.000, 0.000, 0.500), Pt at (0.000, 0.500, 0.000), Pt at (0.000, 0.500, 0.324), Pt at (0.500, 0.500, 0.162) and Pt at (0.500, 0.500, 0.500).

Its density of states at the Fermi level is 1.12 states/eV/atom. The value obtained for the uncorrected energy is -6.319 eV/atom. The value obtained for the energy relative to the elements is -0.140 eV per atom.



[15]
## FeAg2Pt (PBE)

Data for a relaxed FeAg2Pt crystal.

The space group is Pmmm (No. 47) and the conventional cell measures 2.918, 4.585 and 4.814 Å, with angles of 90.00, 90.00 and 90.00 degrees. Symmetry generates all atoms from Fe at (0.000, 0.000, 0.000), Ag at (0.000, 0.500, 0.500), Ag at (0.500, 0.000, 0.500) and Pt at (0.500, 0.500, 0.000).

Its density of states at the Fermi level is 0.90 states/eV/atom. The value obtained for the uncorrected energy is -4.881 eV/atom. The value obtained for the energy relative to the elements is 0.170 eV per atom.



[16]
## FeAg2Pt (PBE)

Data for a relaxed FeAg2Pt crystal.

The space group is R-3m (No. 166, hexagonal axes) and the conventional cell measures 2.7903, 2.7903 and 28.0881 Å, with angles of 90.00, 90.00 and 120.00 degrees. Symmetry generates all atoms from Fe at (0.0000, 0.0000, 0.0000), Ag at (0.0000, 0.0000, 0.2524) and Pt at (0.0000, 0.0000, 0.5000).

Its density of states at the Fermi level is 0.72 states/eV/atom. The value obtained for the uncorrected energy is -4.887 eV/atom. The value obtained for the energy relative to the elements is 0.165 eV per atom.



[17]
## FeAg2Pt (PBE)

Data for a relaxed FeAg2Pt crystal.

The space group is R3m (No. 160, hexagonal axes) and the conventional cell measures 2.8049, 2.8049 and 27.9247 Å, with angles of 90.00, 90.00 and 120.00 degrees. Symmetry generates all atoms from Fe at (0.0000, 0.0000, 0.0000), Ag at (0.0000, 0.0000, 0.2517), Ag at (0.0000, 0.0000, 0.4958) and Pt at (0.0000, 0.0000, 0.7409).

Its density of states at the Fermi level is 0.80 states/eV/atom. The value obtained for the uncorrected energy is -4.987 eV/atom. The value obtained for the energy relative to the elements is 0.065 eV per atom.



[18]
## Fe2AgPt8 (PBE)

Data for a relaxed Fe2AgPt8 crystal.

The space group is C2/m (No. 12) and the conventional cell measures 14.208, 3.920 and 6.298 Å, with angles of 90.00, 105.85 and 90.00 degrees. Symmetry generates all atoms from Fe at (0.228, 0.000, 0.148), Ag at (0.000, 0.500, 0.500), Pt at (0.049, 0.000, 0.221), Pt at (0.100, 0.500, 0.963), Pt at (0.145, 0.000, 0.704) and Pt at (0.183, 0.500, 0.414).

Its density of states at the Fermi level is 0.92 states/eV/atom. The value obtained for the uncorrected energy is -6.316 eV/atom. The value obtained for the energy relative to the elements is -0.124 eV per atom.



[19]
## FeAg2Pt (PBE)

Data for a relaxed FeAg2Pt crystal.

The space group is P4/mmm (No. 123) and the conventional cell measures 2.779, 2.779 and 8.218 Å, with angles of 90.00, 90.00 and 90.00 degrees. Symmetry generates all atoms from Fe at (0.000, 0.000, 0.000), Ag at (0.500, 0.500, 0.241) and Pt at (0.000, 0.000, 0.500).

Its density of states at the Fermi level is 0.66 states/eV/atom. The value obtained for the uncorrected energy is -4.834 eV/atom. The value obtained for the energy relative to the elements is 0.217 eV per atom.



[20]
## FeAgPt (PBE)

Data for a relaxed FeAgPt crystal.

The space group is P3m1 (No. 156) and the conventional cell measures 2.7851, 2.7851 and 6.8531 Å, with angles of 90.00, 90.00 and 120.00 degrees. Symmetry generates all atoms from Fe at (0.0000, 0.0000, 0.0000), Ag at (0.3333, 0.6667, 0.6661) and Pt at (0.6667, 0.3333, 0.3036).

Its density of states at the Fermi level is 0.92 states/eV/atom. The value obtained for the uncorrected energy is -5.728 eV/atom. The value obtained for the energy relative to the elements is 0.057 eV per atom. The energy above the most stable polymorph in this dataset is 0.096 eV/atom.